! K2RbMgHg2 PBE optimized geometry; values from VASP
! - Total magnetization: 0.0000 μB per atom
! - DFT formation energy: -0.7 eV/f.u.
&SYSTEM
  ibrav = 0, nat = 12, ntyp = 4
/
ATOMIC_SPECIES
K 39.10 K.upf
Rb 85.47 Rb.upf
Mg 24.30 Mg.upf
Hg 200.59 Hg.upf
ATOMIC_POSITIONS crystal
K 0.500 0.012 0.094
K 0.000 0.351 0.161
K 0.500 0.512 0.906
K 0.000 0.851 0.839
Rb 0.000 0.008 0.442
Rb 0.000 0.508 0.558
Mg 0.500 0.151 0.697
Mg 0.500 0.651 0.303
Hg 0.000 0.226 0.816
Hg 0.500 0.298 0.401
Hg 0.000 0.726 0.184
Hg 0.500 0.798 0.599
CELL_PARAMETERS angstrom
5.415 0.000 0.000
0.000 9.038 0.000
0.000 0.000 9.801

---

! CsLaTa3 PBE optimized geometry; values from VASP
! - Total magnetization: 0.0000 μB per atom
! - DFT formation energy: 12.4 eV/f.u.
&SYSTEM
  ibrav = 0, nat = 5, ntyp = 3
/
ATOMIC_SPECIES
Cs 132.91 Cs.upf
La 138.91 La.upf
Ta 180.95 Ta.upf
ATOMIC_POSITIONS crystal
Cs 0.500 0.500 0.500
La 0.000 0.000 0.000
Ta 0.000 0.500 0.000
Ta 0.000 0.000 0.500
Ta 0.500 0.000 0.000
CELL_PARAMETERS angstrom
5.270 0.000 0.000
0.000 5.270 0.000
0.000 0.000 5.270

---

! Nd2SmTmSe6 PBE optimized geometry; values from VASP
! - Total magnetization: 0.0000 μB per atom
! - Formation energy without anion corrections: -1.84 eV/atom
&SYSTEM
  ibrav = 0, nat = 10, ntyp = 4
/
ATOMIC_SPECIES
Nd 144.24 Nd.upf
Sm 150.36 Sm.upf
Tm 168.93 Tm.upf
Se 78.96 Se.upf
ATOMIC_POSITIONS crystal
Nd 0.518 0.518 0.446
Nd 0.020 0.020 0.940
Sm 0.317 0.317 0.049
Tm 0.819 0.819 0.542
Se 0.612 0.204 0.259
Se 0.204 0.925 0.259
Se 0.925 0.612 0.259
Se 0.436 0.710 0.754
Se 0.710 0.100 0.754
Se 0.100 0.437 0.754
CELL_PARAMETERS angstrom
7.372 0.000 0.001
3.686 6.384 0.000
3.686 2.128 6.543

---

| no. | D(E_F) (states/eV/atom) |
| --- | --- |
| 1 | 0.604 |
| 2 | 2.781 |
| 3 | 0.000 |